Material: Ta2VCO
Method: DFT, GGA+U
State: optimized geometry

Cell: 4.3104 4.3104 3.8601 Å, 90.00 90.00 90.00°
Space group P4/mmm (No. 123)
One atom of each set of equivalent atoms:
1 Ta 0.0000 0.5000 0.0000 (multiplicity 2)
2 V 0.0000 0.0000 0.5000 (multiplicity 1)
3 C 0.0000 0.0000 0.0000 (multiplicity 1)
4 O 0.5000 0.5000 0.5000 (multiplicity 1)

Output
**Calculated total energy**: -8.409 eV per atom
**M_tot**: 1.1 μB/f.u.